VASP calculation (PBE-GGA) on a geometry-optimized SmDyCuPd structure.

a = 4.996 Å, b = 4.996 Å, c = 4.996 Å
α = 60.00°, β = 60.00°, γ = 60.00°
Fractional coordinates of all 4 atoms:
Dy: 0.000 0.000 0.000
Cu: 0.250 0.250 0.250
Pd: 0.750 0.750 0.750
Sm: 0.500 0.500 0.500

Energy above the lowest structure with this stoichiometry = 0.037 eV/atom
Formation enthalpy at 0 K = -0.5247 eV per atom
Final energy = -0.190 Ha/atom